LiFe2Sb: relaxed, PBE.

Properties
**Symmetry**: Pm-3m, No. 221
**Energy**: -5.274 eV per atom
**Spin magnetization**: 14.43 Bohr magnetons per cell

a = 5.9637 Å, b = 5.9637 Å, c = 5.9637 Å
α = 90.00°, β = 90.00°, γ = 90.00°
Fractional coordinates of all 16 atoms:
Li (0.0000, 0.0000, 0.0000)
Li (0.0000, 0.0000, 0.5000)
Li (0.0000, 0.5000, 0.0000)
Li (0.5000, 0.0000, 0.0000)
Fe (0.2484, 0.2484, 0.2484)
Fe (0.2484, 0.2484, 0.7516)
Fe (0.2484, 0.7516, 0.2484)
Fe (0.2484, 0.7516, 0.7516)
Fe (0.7516, 0.2484, 0.2484)
Fe (0.7516, 0.2484, 0.7516)
Fe (0.7516, 0.7516, 0.2484)
Fe (0.7516, 0.7516, 0.7516)
Sb (0.0000, 0.5000, 0.5000)
Sb (0.5000, 0.0000, 0.5000)
Sb (0.5000, 0.5000, 0.0000)
Sb (0.5000, 0.5000, 0.5000)